# TbCe2Pm3As6 PBE-GGA relaxed
# - DFT total energy (eV/atom) = -6.388
# - formation energy (eV per atom) = -1.501
data_TbCe2Pm3As6
_cell_length_a 18.356
_cell_length_b 4.215
_cell_length_c 8.430
_cell_angle_alpha 90.00
_cell_angle_beta 103.29
_cell_angle_gamma 90.00
_symmetry_space_group_name_H-M 'C 1 2/m 1'
_symmetry_Int_Tables_number 12
_symmetry_space_group_name_Hall '-C 2y'
loop_
_atom_site_label
_atom_site_type_symbol
_atom_site_fract_x
_atom_site_fract_y
_atom_site_fract_z
_atom_site_occupancy
Tb1 Tb 0.000 0.000 0.000 1
Ce1 Ce 0.166 0.500 0.332 1
Pm1 Pm 0.000 0.000 0.500 1
Pm2 Pm 0.166 0.500 0.834 1
As1 As 0.001 0.500 0.246 1
As2 As 0.165 0.000 0.085 1
As3 As 0.168 0.000 0.581 1